# 1
Compound: Hf2Pd13
Source: the Alexandria database
Functional: PBE-GGA
Structure: optimized geometry

SG   R-3m
E_form   0.0110 eV/atom

Cell lengths 7.2764, 7.2764, 7.8466 Å; angles 62.38, 62.38, 60.00 degrees
Element x y z (fractional)
Pd (0.4775, 0.8634, 0.1815)
Pd (0.1366, 0.5225, 0.8185)
Pd (0.1039, 0.7358, 0.4246)
Pd (0.7358, 0.7358, 0.4246)
Pd (0.8634, 0.4775, 0.1815)
Pd (0.7358, 0.1039, 0.4246)
Pd (0.5000, 0.5000, 0.5000)
Pd (0.5225, 0.1366, 0.8185)
Pd (0.5225, 0.5225, 0.8185)
Pd (0.2642, 0.2642, 0.5754)
Pd (0.2642, 0.8961, 0.5754)
Pd (0.8961, 0.2642, 0.5754)
Pd (0.4775, 0.4775, 0.1815)
Hf (0.2571, 0.2571, 0.2288)
Hf (0.7429, 0.7429, 0.7712)

***

# 2
Compound: PuCuSeO
Source: the Alexandria database
Functional: PBE-GGA
Structure: optimized geometry

Energy relative to the elements, uncorrected   -1.6576 eV/atom
SG   R-3m

Cell lengths 3.9442, 3.9442, 10.6189 Å; angles 79.30, 79.30, 60.00 degrees
Site moments in Bohr magnetons follow the coordinates.
Element x y z (fractional)
Pu (0.1202, 0.1202, 0.6394)  5.04
Pu (0.8798, 0.8798, 0.3606)  5.04
Cu (0.3077, 0.3077, 0.0769)  -0.04
Cu (0.6923, 0.6923, 0.9231)  -0.04
O (0.8056, 0.8056, 0.5831)  -0.12
O (0.1944, 0.1944, 0.4169)  -0.12
Se (0.3883, 0.3883, 0.8352)  -0.06
Se (0.6117, 0.6117, 0.1648)  -0.06

***

# 3
Compound: Pm6Ge5Pb
Source: the Alexandria database
Functional: PBE-GGA
Structure: optimized geometry

SG   C2/m
E_form   -0.6258 eV/atom

Cell lengths 7.4402, 7.5389, 7.4391 Å; angles 59.56, 80.45, 70.89 degrees
Element x y z (fractional)
Ge (0.0000, 0.3306, 0.3389)
Ge (0.5000, 0.5000, 0.0000)
Ge (0.0000, 0.6694, 0.6611)
Ge (0.5000, 0.8428, 0.3143)
Ge (0.5000, 0.1572, 0.6857)
Pm (0.2627, 0.9108, 0.6496)
Pm (0.7373, 0.0892, 0.3504)
Pm (0.2569, 0.2663, 0.0000)
Pm (0.7373, 0.4396, 0.6496)
Pm (0.2627, 0.5604, 0.3504)
Pm (0.7431, 0.7337, 0.0000)
Pb (0.0000, 0.0000, 0.0000)

***

# 4
Compound: Na2GaCo
Source: the Alexandria database
Functional: PBE-GGA
Structure: optimized geometry

SG   I-42d
E_form   0.5046 eV/atom

Cell lengths 9.9033, 9.9033, 7.3717 Å; angles 47.80, 47.80, 90.00 degrees
Site moments in Bohr magnetons follow the coordinates.
Element x y z (fractional)
Ga (0.0000, 0.0000, 0.0000)  0.06
Ga (0.7500, 0.2500, 0.5000)  0.06
Co (0.5000, 0.5000, 0.0000)  -1.17
Co (0.2500, 0.7500, 0.5000)  -1.17
Na (0.4946, 0.1250, 0.2500)  0.00
Na (0.2554, 0.6250, 0.2500)  0.00
Na (0.3750, 0.5054, 0.7500)  0.00
Na (0.8750, 0.7446, 0.7500)  0.00

***

# 5
Compound: Li2ZrCr
Source: the Alexandria database
Functional: PBE-GGA
Structure: optimized geometry

SG   Pm
E_form   0.3122 eV/atom

Cell lengths 3.1158, 3.1195, 8.4288 Å; angles 68.36, 90.00, 90.00 degrees
Site moments in Bohr magnetons follow the coordinates.
Element x y z (fractional)
Li (0.5000, 0.2758, 0.2240)  0.00
Li (0.0000, 0.0243, 0.9752)  0.02
Cr (0.5000, 0.7428, 0.7576)  2.79
Zr (0.0000, 0.4571, 0.5432)  -0.38

***

# 6
Compound: TiTe2Ir
Source: the Alexandria database
Functional: PBE-GGA
Structure: optimized geometry

Energy relative to the elements, uncorrected   0.1190 eV/atom
SG   R-3m

Cell lengths 9.0983, 9.0983, 9.0983 Å; angles 21.40, 21.40, 21.40 degrees
Element x y z (fractional)
Ir (0.0000, 0.0000, 0.0000)
Ti (0.5000, 0.5000, 0.5000)
Te (0.9050, 0.9050, 0.9050)
Te (0.0950, 0.0950, 0.0950)

***

# 7
Compound: K2BaTa
Source: the Alexandria database
Functional: PBE-GGA
Structure: optimized geometry

SG   P4/mmm
E_form   1.2437 eV/atom

Cell lengths 3.3214, 3.3214, 14.0726 Å; angles 90.00, 90.00, 90.00 degrees
Site moments in Bohr magnetons follow the coordinates.
Element x y z (fractional)
K (0.0000, 0.0000, 0.0415)  0.02
K (0.0000, 0.0000, 0.4585)  0.02
Ta (0.5000, 0.5000, 0.2500)  0.79
Ba (0.5000, 0.5000, 0.7500)  0.03

***

# 8
Compound: Al2CoSb
Source: the Alexandria database
Functional: PBE-GGA
Structure: optimized geometry

Energy relative to the elements, uncorrected   0.2126 eV/atom
SG   P4/mmm

Cell lengths 3.9081, 3.9081, 4.3252 Å; angles 90.00, 90.00, 90.00 degrees
Site moments in Bohr magnetons follow the coordinates.
Element x y z (fractional)
Co (0.5000, 0.0000, 0.5000)  0.27
Sb (0.0000, 0.5000, 0.5000)  0.00
Al (0.0000, 0.0000, 0.0000)  0.00
Al (0.5000, 0.5000, 0.0000)  0.00

***

# 9
Compound: ZnAs2Ru2
Source: the Alexandria database
Functional: PBE-GGA
Structure: optimized geometry

SG   P4/mbm
E_form   -0.0137 eV/atom

Cell lengths 7.1725, 7.1725, 3.0277 Å; angles 90.00, 90.00, 90.00 degrees
Element x y z (fractional)
Ru (0.8526, 0.6474, 0.0000)
Ru (0.1474, 0.3526, 0.0000)
Ru (0.6474, 0.1474, 0.0000)
Ru (0.3526, 0.8526, 0.0000)
As (0.1486, 0.6486, 0.5000)
As (0.6486, 0.8514, 0.5000)
As (0.3514, 0.1486, 0.5000)
As (0.8514, 0.3514, 0.5000)
Zn (0.5000, 0.5000, 0.0000)
Zn (0.0000, 0.0000, 0.0000)

***

# 10
Compound: La6RuN2Cl3
Source: the Alexandria database
Functional: PBE-GGA
Structure: optimized geometry

Energy relative to the elements, uncorrected   -1.3743 eV/atom
SG   C2/m

Cell lengths 3.8779, 8.6830, 9.4162 Å; angles 110.42, 101.88, 90.00 degrees
Element x y z (fractional)
Ru (0.5000, 0.0000, 0.0000)
La (0.3385, 0.8682, 0.6771)
La (0.6831, 0.5560, 0.3663)
La (0.9765, 0.7516, 0.9531)
La (0.0235, 0.2484, 0.0469)
La (0.3169, 0.4440, 0.6337)
La (0.6615, 0.1318, 0.3229)
Cl (0.8352, 0.1721, 0.6705)
Cl (0.1648, 0.8279, 0.3295)
Cl (0.5000, 0.5000, 0.0000)
N (0.8296, 0.6610, 0.6592)
N (0.1704, 0.3390, 0.3408)

***

# 11
Compound: TcNiGe4
Source: the Alexandria database
Functional: PBE-GGA
Structure: optimized geometry

SG   Pnc2
E_form   -0.0187 eV/atom

Cell lengths 5.7346, 4.6348, 7.8414 Å; angles 90.00, 90.00, 90.00 degrees
Element x y z (fractional)
Tc (0.5000, 0.5000, 0.6079)
Tc (0.0000, 0.5000, 0.1079)
Ge (0.7734, 0.0572, 0.6320)
Ge (0.2630, 0.3948, 0.8641)
Ge (0.2370, 0.3948, 0.3641)
Ge (0.7370, 0.6052, 0.8641)
Ge (0.7266, 0.0572, 0.1320)
Ge (0.7630, 0.6052, 0.3641)
Ge (0.2266, 0.9428, 0.6320)
Ge (0.2734, 0.9428, 0.1320)
Ni (0.5000, 0.0000, 0.3998)
Ni (0.0000, 0.0000, 0.8998)

***

# 12
Compound: NaPuMgBr6
Source: the Alexandria database
Functional: PBE-GGA
Structure: optimized geometry

Energy relative to the elements, uncorrected   -1.4941 eV/atom
SG   P-31c

Cell lengths 7.1741, 7.1741, 13.2611 Å; angles 90.00, 90.00, 120.00 degrees
Site moments in Bohr magnetons follow the coordinates.
Element x y z (fractional)
Br (0.6555, 0.0195, 0.8676)  0.02
Br (0.3640, 0.3445, 0.8676)  0.02
Br (0.3445, 0.9805, 0.1324)  0.02
Br (0.0195, 0.3640, 0.1324)  0.02
Br (0.6555, 0.6360, 0.6324)  0.02
Br (0.9805, 0.3445, 0.6324)  0.02
Br (0.3640, 0.0195, 0.6324)  0.02
Br (0.6360, 0.9805, 0.3676)  0.02
Br (0.0195, 0.6555, 0.3676)  0.02
Br (0.3445, 0.3640, 0.3676)  0.02
Br (0.6360, 0.6555, 0.1324)  0.02
Br (0.9805, 0.6360, 0.8676)  0.02
Na (0.0000, 0.0000, 0.0000)  0.00
Na (0.0000, 0.0000, 0.5000)  0.00
Pu (0.3333, 0.6667, 0.7500)  -5.07
Pu (0.6667, 0.3333, 0.2500)  -5.07
Mg (0.3333, 0.6667, 0.2500)  0.00
Mg (0.6667, 0.3333, 0.7500)  0.00

***

# 13
Compound: GeTeS
Source: the Alexandria database
Functional: PBE-GGA
Structure: optimized geometry

Energy relative to the elements, uncorrected   0.0237 eV/atom
SG   P-1

Cell lengths 4.2074, 4.3909, 8.6502 Å; angles 85.88, 85.02, 91.68 degrees
Element x y z (fractional)
Te (0.7332, 0.7337, 0.1635)
Te (0.2668, 0.2663, 0.8365)
S (0.8303, 0.8384, 0.5190)
S (0.1697, 0.1616, 0.4810)
Ge (0.7609, 0.8339, 0.8281)
Ge (0.2391, 0.1661, 0.1719)

***

# 14
Compound: Tl3SbP2O8
Source: the Alexandria database
Functional: PBE-GGA
Structure: optimized geometry

Energy relative to the elements, uncorrected   -1.6161 eV/atom
SG   P-3m1

Cell lengths 5.7158, 5.7158, 8.4427 Å; angles 90.00, 90.00, 120.00 degrees
Element x y z (fractional)
Sb (0.0000, 0.0000, 0.5000)
O (0.1836, 0.8164, 0.3339)
O (0.8164, 0.1836, 0.6661)
O (0.1836, 0.3671, 0.3339)
O (0.3333, 0.6667, 0.0911)
O (0.6329, 0.8164, 0.3339)
O (0.8164, 0.6329, 0.6661)
O (0.6667, 0.3333, 0.9089)
O (0.3671, 0.1836, 0.6661)
Tl (0.0000, 0.0000, 0.0000)
Tl (0.3333, 0.6667, 0.7789)
Tl (0.6667, 0.3333, 0.2211)
P (0.6667, 0.3333, 0.7267)
P (0.3333, 0.6667, 0.2733)

***

# 15
Compound: AcLaSi2
Source: the Alexandria database
Functional: PBE-GGA
Structure: optimized geometry

Energy relative to the elements, uncorrected   -0.6505 eV/atom
SG   Amm2

Cell lengths 4.6437, 4.0522, 6.2005 Å; angles 90.00, 112.00, 90.00 degrees
Element x y z (fractional)
Ac (0.7264, 0.0000, 0.9921)
Si (0.0143, 0.0000, 0.5674)
Si (0.1453, 0.5000, 0.8298)
La (0.4450, 0.5000, 0.4287)

***

# 16
Compound: Li2NbNi
Source: the Alexandria database
Functional: PBE-GGA
Structure: optimized geometry

SG   I-42d
E_form   0.6031 eV/atom

Cell lengths 6.9111, 6.9111, 5.4644 Å; angles 50.77, 50.77, 90.00 degrees
Element x y z (fractional)
Nb (0.0000, 0.0000, 0.0000)
Nb (0.7500, 0.2500, 0.5000)
Li (0.8750, 0.8346, 0.7500)
Li (0.5846, 0.1250, 0.2500)
Li (0.3750, 0.4154, 0.7500)
Li (0.1654, 0.6250, 0.2500)
Ni (0.5000, 0.5000, 0.0000)
Ni (0.2500, 0.7500, 0.5000)

***

# 17
Compound: CuNi5Sb2
Source: the Alexandria database
Functional: PBE-GGA
Structure: optimized geometry

Energy relative to the elements, uncorrected   -0.0882 eV/atom
SG   I4/mmm

Cell lengths 5.2854, 5.2853, 5.2853 Å; angles 91.75, 119.00, 119.00 degrees
Element x y z (fractional)
Sb (0.5000, 0.7778, 0.2778)
Sb (0.5000, 0.2778, 0.7778)
Ni (0.0000, 0.7777, 0.2777)
Ni (0.5000, 0.2777, 0.2777)
Ni (0.5000, 0.7777, 0.7777)
Ni (0.0000, 0.2777, 0.7777)
Ni (0.0000, 0.2777, 0.2777)
Cu (0.0000, 0.7780, 0.7780)

***

# 18
Compound: K2NiH6Au
Source: the Alexandria database
Functional: PBE-GGA
Structure: optimized geometry

SG   I4/mmm

Cell lengths 5.0640, 5.0640, 5.8831 Å; angles 64.52, 64.52, 90.00 degrees
Element x y z (fractional)
Au (0.5000, 0.5000, 0.0000)
H (0.7617, 0.7617, 0.9997)
H (0.2383, 0.2383, 0.0003)
H (0.8350, 0.8350, 0.3302)
H (0.2385, 0.7615, 0.0000)
H (0.1650, 0.1650, 0.6698)
H (0.7615, 0.2385, 0.0000)
Ni (0.0000, 0.0000, 0.0000)
K (0.2500, 0.7500, 0.5000)
K (0.7500, 0.2500, 0.5000)

***

# 19
Compound: Cs3SiRh
Source: the Alexandria database
Functional: PBE-GGA
Structure: optimized geometry

Energy relative to the elements, uncorrected   0.7445 eV/atom
SG   Pm-3m

Cell lengths 6.0812, 6.0812, 6.0812 Å; angles 90.00, 90.00, 90.00 degrees
Site moments in Bohr magnetons follow the coordinates.
Element x y z (fractional)
Cs (0.0000, 0.5000, 0.0000)  0.02
Cs (0.0000, 0.0000, 0.5000)  0.03
Cs (0.5000, 0.0000, 0.0000)  0.01
Si (0.5000, 0.5000, 0.5000)  0.56
Rh (0.0000, 0.0000, 0.0000)  -0.01

***

# 20
Compound: Li3PtRh3O8
Source: the Alexandria database
Functional: PBE-GGA
Structure: optimized geometry

Energy relative to the elements, uncorrected   -1.0575 eV/atom
SG   R-3m

Cell lengths 6.2114, 6.2108, 5.9856 Å; angles 121.27, 90.00, 120.00 degrees
Element x y z (fractional)
Rh (0.5000, 0.0000, 0.5000)
Rh (0.5000, 0.5000, 0.5000)
Rh (0.0000, 0.5000, 0.5000)
O (0.7632, 0.0178, 0.2812)
O (0.2547, 0.0178, 0.2812)
O (0.7419, 0.4838, 0.7255)
O (0.2368, 0.4737, 0.7188)
O (0.7453, 0.9822, 0.7188)
O (0.2368, 0.9822, 0.7188)
O (0.7632, 0.5263, 0.2812)
O (0.2581, 0.5162, 0.2745)
Li (0.5000, 0.5000, 0.0000)
Li (0.0000, 0.0000, 0.0000)
Li (0.0000, 0.5000, 0.0000)
Pt (0.0000, 0.0000, 0.5000)

***

Number 1: total DFT energy (no corrections) -87.25 eV per formula unit. Number 2: total DFT energy (no corrections) -33.50 eV per formula unit. Number 3: total DFT energy (no corrections) -62.81 eV per formula unit. Number 4: total DFT energy (no corrections) -10.75 eV per formula unit. Number 5: total DFT energy (no corrections) -20.75 eV per formula unit. Number 6: total DFT energy (no corrections) -22.56 eV per formula unit. Number 7: total DFT energy (no corrections) -11.00 eV per formula unit. Number 8: total DFT energy (no corrections) -17.86 eV per formula unit. Number 9: total DFT energy (no corrections) -29.19 eV per formula unit. Number 10: total DFT energy (no corrections) -77.52 eV per formula unit. Number 11: total DFT energy (no corrections) -34.73 eV per formula unit. Number 12: total DFT energy (no corrections) -40.73 eV per formula unit. Number 13: total DFT energy (no corrections) -11.82 eV per formula unit. Number 14: total DFT energy (no corrections) -84.33 eV per formula unit. Number 15: total DFT energy (no corrections) -22.48 eV per formula unit. Number 16: total DFT energy (no corrections) -17.27 eV per formula unit. Number 17: total DFT energy (no corrections) -41.95 eV per formula unit. Number 18: total DFT energy (no corrections) -32.80 eV per formula unit. Number 19: total DFT energy (no corrections) -11.61 eV per formula unit. Number 20: total DFT energy (no corrections) -89.37 eV per formula unit.